No. 1
VASP calculation (PBE) on a relaxed Co2SiHg2 crystal.

a b c (Å): 5.9257 5.9257 4.4340
angles (deg): 90.00 90.00 90.00
Last column: nearest neighbours and their distance in Å.
Space group P4/mbm (No. 127)
Asymmetric unit:
Co (0.1462, 0.3538, 0.0000) (multiplicity 4)  2 Si 2.27, 1 Co 2.45
Si (0.0000, 0.0000, 0.0000) (multiplicity 2)  4 Co 2.27
Hg (0.1706, 0.6706, 0.5000) (multiplicity 4)  6 Co 2.70-2.91, 1 Hg 2.86

VASP energy ... -3.87 eV/atom
Formation energy from raw total energies ... 0.17 eV per atom
Spin magnetization ... 0.18 μB/atom

---

No. 2
VASP calculation (PBE) on a relaxed PmBAs2O8 crystal.

a b c (Å): 5.1705 5.1705 6.3543
angles (deg): 90.00 90.00 120.00
Last column: nearest neighbours and their distance in Å.
Space group P-3m1 (No. 164)
Asymmetric unit:
Pm (0.0000, 0.0000, 0.0000) (multiplicity 1)  6 O 2.48
B (0.0000, 0.0000, 0.5000) (multiplicity 1)  6 O 1.70
As (0.3333, 0.6667, 0.2661) (multiplicity 2)  4 O 1.70-1.71
O (0.1476, 0.2952, 0.3306) (multiplicity 6)  1 B 1.70, 1 As 1.71
O (0.3333, 0.6667, 0.9980) (multiplicity 2)  1 As 1.70

VASP energy ... -6.58 eV/atom
Formation energy from raw total energies ... -1.55 eV per atom
Spin magnetization ... 0.00 μB/atom

---

No. 3
VASP calculation (PBE) on a relaxed CeThNb crystal.

a b c (Å): 3.5861 3.5861 11.7472
angles (deg): 90.00 90.00 90.00
Last column: nearest neighbours and their distance in Å.
Space group I4mm (No. 107)
Asymmetric unit:
Ce (0.0000, 0.0000, 0.0000) (multiplicity 2)  4 Nb 3.13, 4 Th 3.34
Th (0.0000, 0.0000, 0.6847) (multiplicity 2)  4 Nb 3.15, 4 Ce 3.34
Nb (0.0000, 0.0000, 0.3432) (multiplicity 2)  4 Ce 3.13, 4 Th 3.15

VASP energy ... -7.62 eV/atom
Spin magnetization ... 0.00 μB/atom